Entry from Alexandria: a crystal of YCd2As relaxed with PBEsol (SCAN).

Summary:
E_tot = -27.598 eV per atom
Formation enthalpy at 0 K = -0.3820 eV/atom

Lattice parameters (Å, degrees): 4.2656 4.5992 5.4722 114.85 112.94 90.00
Element x y z (fractional)
Y (0.5113, 0.5113, 0.0226)
As (0.2470, 0.7470, 0.4940)
Cd (0.9900, 0.9900, 0.9800)
Cd (0.7517, 0.2517, 0.5035)